Compound: Tm4FePt
Source: Alexandria
Functional: PBE
Structure: relaxed

Its total energy is -5.8960 eV per atom. As for the density of states at the Fermi level: 5.666 states/eV/f.u. As for the formation energy: -2.99 eV/f.u.

It has space group C2/c (No. 15), with a = 8.7549 Å, b = 12.6642 Å, c = 6.1009 Å, α = 90.00°, β = 122.65° and γ = 90.00°. The distinct sites, in fractional coordinates, are Tm at (0.1223, 0.1739, 0.0924), Tm at (0.2071, 0.4375, 0.2833), Fe at (0.0000, 0.0014, 0.7500) and Pt at (0.0000, 0.3632, 0.7500).

---

Compound: LiOs2O8
Source: Alexandria
Functional: PBE
Structure: relaxed

The value obtained for the uncorrected formation energy is -109 kJ per mole of atoms. Its total energy is -6.9471 eV per atom. As for the density of states at the Fermi level: 6.821 states/eV/f.u. Its energy above the most stable polymorph in this dataset is 0.000 eV per atom.

It has space group P-3m1 (No. 164), with a = 5.8873 Å, b = 5.8873 Å, c = 6.4179 Å, α = 90.00°, β = 90.00° and γ = 120.00°. The distinct sites, in fractional coordinates, are Li at (0.0000, 0.0000, 0.0000), Os at (0.3333, 0.6667, 0.7236), O at (0.1723, 0.3446, 0.8144) and O at (0.3333, 0.6667, 0.4525).

---

Compound: CuSeI2
Source: Alexandria
Functional: PBE
Structure: relaxed

The value obtained for the uncorrected formation energy is 35 kJ per mole of atoms. Its total energy is -2.3123 eV per atom. As for the density of states at the Fermi level: 4.156 states/eV/f.u. Its energy above the most stable polymorph in this dataset is 0.392 eV per atom.

It has space group I-42d (No. 122), with a = 7.4023 Å, b = 7.4023 Å, c = 8.9981 Å, α = 90.00°, β = 90.00° and γ = 90.00°. The distinct sites, in fractional coordinates, are Cu at (0.0000, 0.0000, 0.0000), Se at (0.0000, 0.0000, 0.5000) and I at (0.1982, 0.2500, 0.1250).